Entry from the Alexandria database: Fe2NiHRu after structural relaxation (PBE).

Unit cell a=3.700 b=3.700 c=3.629 alpha=90.00 beta=90.00 gamma=90.00
Last column: magnetic moment on the atom in μB.
Fractional coordinates of all 5 atoms:
Ru: 0.500 0.500 0.500  0.56
Ni: 0.000 0.000 0.500  0.22
Fe: 0.500 0.000 0.000  2.12
Fe: 0.000 0.500 0.000  2.12
H: 0.000 0.000 0.000  -0.02

**Calculated volume**: 49.7 Å³ per cell
**N(E_F)**: 5.3 states/eV/cell
**Distance to the lowest polymorph of the same formula**: 0.04 eV per formula unit